# Li2UMnS4

A relaxed Li2UMnS4 crystal (PBE-GGA, the Alexandria database).

Calculated values
**ΔE_f (raw)**: -112.5 kJ/mol of atoms
**Electronic total energy**: -6.265 eV/atom

Unit cell a=6.4438 b=3.7933 c=6.5164 alpha=90.00 beta=108.95 gamma=90.00
Space group P2/m (No. 10)
Inequivalent atoms, fractional coordinates:
Li1 0.0000 0.0000 0.0000 x1
Li2 0.5000 0.5000 0.0000 x1
U1 0.0000 0.5000 0.5000 x1
Mn1 0.5000 0.0000 0.5000 x1
S1 0.2588 0.0000 0.7536 x2
S2 0.2630 0.5000 0.2613 x2